The following is a GGA-PBE calculation of an optimized crystal structure of Mo2PPt, from Alexandria.

CIF file:
```
data_Mo2PPt
_cell_length_a 5.6651
_cell_length_b 5.6651
_cell_length_c 10.6279
_cell_angle_alpha 90.00
_cell_angle_beta 90.00
_cell_angle_gamma 90.00
_space_group_name_H-M_alt 'P 1'
_space_group_IT_number 1
loop_
_space_group_symop_operation_xyz
'x,y,z'
loop_
_atom_site_label
_atom_site_type_symbol
_atom_site_fract_x
_atom_site_fract_y
_atom_site_fract_z
Mo1 Mo 0.2345 0.2500 0.1250
Mo2 Mo 0.2500 0.7345 0.3750
Mo3 Mo 0.2500 0.7655 0.8750
Mo4 Mo 0.2655 0.2500 0.6250
Mo5 Mo 0.7345 0.7500 0.6250
Mo6 Mo 0.7500 0.2345 0.8750
Mo7 Mo 0.7500 0.2655 0.3750
Mo8 Mo 0.7655 0.7500 0.1250
P1 P 0.0000 0.0000 0.0000
P2 P 0.0000 0.5000 0.2500
P3 P 0.5000 0.0000 0.7500
P4 P 0.5000 0.5000 0.5000
Pt1 Pt 0.0000 0.0000 0.5000
Pt2 Pt 0.0000 0.5000 0.7500
Pt3 Pt 0.5000 0.0000 0.2500
Pt4 Pt 0.5000 0.5000 0.0000
```

Results
Calculated total energy in eV for the cell shown: -123.43
Crystal system: tetragonal
Size of the total moment in μB per formula unit: 0.00